Entry 1:
VASP calculation (PBE with a Hubbard U) on a relaxed structure of Mn2Cd2GeO6.

- calculated total energy (eV/atom) = -6.028
- total moment (μB per formula unit) = 9.99

Cell: 5.4425 5.4425 5.6345 Å, 98.91 98.91 118.38°
Element x y z (fractional)
Cd  0.1710  0.8290  0.0000
Cd  0.8290  0.1710  0.0000
O  0.6389  0.9516  0.2902
O  0.0484  0.3611  0.7098
O  0.9516  0.6389  0.2902
O  0.2256  0.2256  0.3048
O  0.7744  0.7744  0.6952
O  0.3611  0.0484  0.7098
Mn  0.6622  0.3378  0.5000
Mn  0.3378  0.6622  0.5000
Ge  0.0000  0.0000  0.5000

***

Entry 2:
VASP calculation (PBE with a Hubbard U) on a relaxed structure of Mn3Cd3GeO8.

- calculated total energy (eV/atom) = -6.032
- total moment (μB per formula unit) = 15.00

Cell: 6.4275 6.4285 6.5457 Å, 119.40 90.01 119.99°
Element x y z (fractional)
O  0.7758  0.9899  0.7037
O  0.7419  0.4839  0.7258
O  0.7861  0.5722  0.2964
O  0.2140  0.9899  0.7038
O  0.2242  0.0101  0.2963
O  0.2581  0.5161  0.2742
O  0.2139  0.4278  0.7036
O  0.7860  0.0101  0.2962
Mn  0.5000  0.5000  0.5000
Mn  0.0000  0.5000  0.5000
Mn  0.5000  0.0000  0.5000
Cd  0.5000  0.5000  0.0000
Cd  0.0000  0.5000  0.0000
Cd  0.0000  0.0000  0.0000
Ge  0.0000  0.0000  0.5000

***

Entry 3:
VASP calculation (PBE with a Hubbard U) on a relaxed structure of MnCdGe2O6.

- calculated total energy (eV/atom) = -6.322
- total moment (μB per formula unit) = 5.00

Cell: 5.4407 6.9987 6.9987 Å, 86.00 80.33 80.33°
Element x y z (fractional)
O  0.6407  0.1323  0.6151
O  0.8593  0.3849  0.8677
O  0.4381  0.5925  0.6970
O  0.9381  0.6970  0.5925
O  0.6372  0.7964  0.9696
O  0.0619  0.3030  0.4075
O  0.1407  0.6151  0.1323
O  0.1372  0.9696  0.7964
O  0.3628  0.2036  0.0304
O  0.8628  0.0304  0.2036
O  0.5619  0.4075  0.3030
O  0.3593  0.8677  0.3849
Ge  0.7805  0.2022  0.3846
Ge  0.7195  0.6154  0.7978
Ge  0.2805  0.3846  0.2022
Ge  0.2195  0.7978  0.6154
Cd  0.2500  0.2865  0.7135
Cd  0.7500  0.7135  0.2865
Mn  0.7500  0.0961  0.9039
Mn  0.2500  0.9039  0.0961

***

Q: Look up the total moment of the first one.
A: 9.99 μB per formula unit

***

Q: Look up the calculated total energy of the second one.
A: -6.032 eV/atom